# 1
A geometry-optimized AcCeNdSn structure. Source: the Alexandria database, functional PBE.

Values from the calculation:
**Electronic total energy**: -4.86 eV/atom
**SG**: No. 216
**Formation energy**: -0.1606 eV/atom

abc: 7.977 7.977 7.977
angles: 90.00 90.00 90.00
Element x y z (fractional)
Ac 0.000 0.000 0.000
Ac 0.000 0.500 0.500
Ac 0.500 0.000 0.500
Ac 0.500 0.500 0.000
Ce 0.250 0.250 0.250
Ce 0.250 0.750 0.750
Ce 0.750 0.250 0.750
Ce 0.750 0.750 0.250
Nd 0.250 0.250 0.750
Nd 0.250 0.750 0.250
Nd 0.750 0.250 0.250
Nd 0.750 0.750 0.750
Sn 0.000 0.000 0.500
Sn 0.000 0.500 0.000
Sn 0.500 0.000 0.000
Sn 0.500 0.500 0.500

***

# 2
A geometry-optimized AcCe2Nd3Te6 structure. Source: the Alexandria database, functional PBE.

Values from the calculation:
**Electronic total energy**: -5.51 eV/atom
**SG**: No. 12

abc: 7.844 7.844 7.891
angles: 99.54 99.54 120.05
Element x y z (fractional)
Ac 0.000 0.000 0.000
Ce 0.332 0.668 0.000
Ce 0.668 0.332 0.000
Nd 0.159 0.841 0.500
Nd 0.500 0.500 0.500
Nd 0.841 0.159 0.500
Te 0.086 0.429 0.257
Te 0.261 0.261 0.751
Te 0.429 0.086 0.257
Te 0.571 0.914 0.743
Te 0.739 0.739 0.249
Te 0.914 0.571 0.743

***

# 3
A geometry-optimized Ac2CeNdTe5 structure. Source: the Alexandria database, functional PBE.

Values from the calculation:
**Electronic total energy**: -4.77 eV/atom
**SG**: No. 123

abc: 5.699 5.699 12.021
angles: 90.00 90.00 90.00
Element x y z (fractional)
Ac 0.000 0.000 0.177
Ac 0.000 0.000 0.823
Ce 0.500 0.500 0.500
Nd 0.500 0.500 0.000
Te 0.000 0.000 0.500
Te 0.000 0.500 0.000
Te 0.500 0.000 0.000
Te 0.500 0.500 0.253
Te 0.500 0.500 0.747

***

# 4
A geometry-optimized Ac2Ce3NdTe6 structure. Source: the Alexandria database, functional PBE.

Values from the calculation:
**Electronic total energy**: -5.55 eV/atom
**SG**: No. 12

abc: 7.885 7.885 8.011
angles: 99.45 99.45 120.09
Element x y z (fractional)
Ac 0.166 0.834 0.000
Ac 0.834 0.166 0.000
Ce 0.000 0.000 0.500
Ce 0.329 0.671 0.500
Ce 0.671 0.329 0.500
Nd 0.500 0.500 0.000
Te 0.089 0.415 0.742
Te 0.263 0.263 0.263
Te 0.415 0.089 0.742
Te 0.585 0.911 0.258
Te 0.737 0.737 0.737
Te 0.911 0.585 0.258

***

# 5
A geometry-optimized AcCe2NdTe5 structure. Source: the Alexandria database, functional PBE.

Values from the calculation:
**Electronic total energy**: -4.89 eV/atom
**SG**: No. 123

abc: 5.697 5.697 12.324
angles: 90.00 90.00 90.00
Element x y z (fractional)
Ac 0.000 0.000 0.000
Ce 0.500 0.500 0.350
Ce 0.500 0.500 0.650
Nd 0.000 0.000 0.500
Te 0.000 0.000 0.252
Te 0.000 0.000 0.748
Te 0.000 0.500 0.500
Te 0.500 0.000 0.500
Te 0.500 0.500 0.000

***

# 6
A geometry-optimized AcCe3Nd4Te8 structure. Source: the Alexandria database, functional PBE.

Values from the calculation:
**Electronic total energy**: -5.54 eV/atom
**SG**: No. 166

abc: 9.080 9.080 9.080
angles: 59.69 59.69 59.69
Element x y z (fractional)
Ac 0.000 0.000 0.000
Ce 0.000 0.500 0.500
Ce 0.500 0.000 0.500
Ce 0.500 0.500 0.000
Nd 0.000 0.000 0.500
Nd 0.000 0.500 0.000
Nd 0.500 0.000 0.000
Nd 0.500 0.500 0.500
Te 0.250 0.250 0.250
Te 0.255 0.255 0.745
Te 0.255 0.745 0.255
Te 0.255 0.745 0.745
Te 0.745 0.255 0.255
Te 0.745 0.255 0.745
Te 0.745 0.745 0.255
Te 0.750 0.750 0.750

***

What is the formula in the second record?
AcCe2Nd3Te6

***

Which value of electronic total energy does entry 1 give?
-4.86 eV/atom

***

Please write out number 6 again, unchanged.
A geometry-optimized AcCe3Nd4Te8 structure. Source: the Alexandria database, functional PBE.

Values from the calculation:
**Electronic total energy**: -5.54 eV/atom
**SG**: No. 166

abc: 9.080 9.080 9.080
angles: 59.69 59.69 59.69
Element x y z (fractional)
Ac 0.000 0.000 0.000
Ce 0.000 0.500 0.500
Ce 0.500 0.000 0.500
Ce 0.500 0.500 0.000
Nd 0.000 0.000 0.500
Nd 0.000 0.500 0.000
Nd 0.500 0.000 0.000
Nd 0.500 0.500 0.500
Te 0.250 0.250 0.250
Te 0.255 0.255 0.745
Te 0.255 0.745 0.255
Te 0.255 0.745 0.745
Te 0.745 0.255 0.255
Te 0.745 0.255 0.745
Te 0.745 0.745 0.255
Te 0.750 0.750 0.750

***

Among the records above, which one has the lowest electronic total energy?
Ac2Ce3NdTe6